Entry 1:
First-principles (PBE) data for a relaxed LiEr4Os2 crystal, as listed in the Alexandria database.

Calculated values
N(E_F)	9.32	states/eV/cell
E_tot	-133.58	eV for the cell shown
spin magnetization	0.00	μB per atom

The structure in CIF format:
```
data_LiEr4Os2
_chemical_formula_sum 'Li3 Er12 Os6'
_cell_length_a 4.8196
_cell_length_b 4.8196
_cell_length_c 23.2249
_cell_angle_alpha 90.00
_cell_angle_beta 90.00
_cell_angle_gamma 120.00
_symmetry_space_group_name_H-M 'R -3 m'
_symmetry_Int_Tables_number 166
_symmetry_space_group_name_Hall '-R 3 2"'
loop_
_atom_site_label
_atom_site_type_symbol
_atom_site_fract_x
_atom_site_fract_y
_atom_site_fract_z
_atom_site_occupancy
Li1 Li 0.0000 0.0000 0.0000 1
Er1 Er 0.0000 0.0000 0.1283 1
Er2 Er 0.0000 0.0000 0.3789 1
Os1 Os 0.0000 0.0000 0.2524 1
```

***

Entry 2:
First-principles (PBE) data for a relaxed LiErPaOs crystal, as listed in the Alexandria database.

Calculated values
N(E_F)	16.48	states/eV/cell
E_tot	-110.39	eV for the cell shown
spin magnetization	0.00	μB per atom

The structure in CIF format:
```
data_LiErPaOs
_chemical_formula_sum 'Li4 Er4 Pa4 Os4'
_cell_length_a 6.900
_cell_length_b 6.900
_cell_length_c 6.900
_cell_angle_alpha 90.00
_cell_angle_beta 90.00
_cell_angle_gamma 90.00
_symmetry_space_group_name_H-M 'F -4 3 m'
_symmetry_Int_Tables_number 216
_symmetry_space_group_name_Hall 'F -4 2 3'
loop_
_atom_site_label
_atom_site_type_symbol
_atom_site_fract_x
_atom_site_fract_y
_atom_site_fract_z
_atom_site_occupancy
Li1 Li 0.000 0.000 0.000 1
Er1 Er 0.250 0.250 0.250 1
Pa1 Pa 0.250 0.250 0.750 1
Os1 Os 0.000 0.000 0.500 1
```

***

Entry 3:
First-principles (PBE) data for a relaxed LiPmErOs crystal, as listed in the Alexandria database.

Calculated values
N(E_F)	9.00	states/eV/cell
E_tot	-92.77	eV for the cell shown
spin magnetization	0.00	μB per atom

The structure in CIF format:
```
data_LiPmErOs
_chemical_formula_sum 'Li4 Pm4 Er4 Os4'
_cell_length_a 6.985
_cell_length_b 6.985
_cell_length_c 6.985
_cell_angle_alpha 90.00
_cell_angle_beta 90.00
_cell_angle_gamma 90.00
_symmetry_space_group_name_H-M 'F -4 3 m'
_symmetry_Int_Tables_number 216
_symmetry_space_group_name_Hall 'F -4 2 3'
loop_
_atom_site_label
_atom_site_type_symbol
_atom_site_fract_x
_atom_site_fract_y
_atom_site_fract_z
_atom_site_occupancy
Li1 Li 0.000 0.000 0.000 1
Pm1 Pm 0.250 0.250 0.250 1
Er1 Er 0.250 0.250 0.750 1
Os1 Os 0.000 0.000 0.500 1
```

***

Entry 4:
First-principles (PBE) data for a relaxed LiErPuOs crystal, as listed in the Alexandria database.

Calculated values
N(E_F)	34.71	states/eV/cell
E_tot	-129.57	eV for the cell shown
spin magnetization	1.38	μB per atom

The structure in CIF format:
```
data_LiErPuOs
_chemical_formula_sum 'Li4 Er4 Pu4 Os4'
_cell_length_a 6.866
_cell_length_b 6.866
_cell_length_c 6.866
_cell_angle_alpha 90.00
_cell_angle_beta 90.00
_cell_angle_gamma 90.00
_symmetry_space_group_name_H-M 'F -4 3 m'
_symmetry_Int_Tables_number 216
_symmetry_space_group_name_Hall 'F -4 2 3'
loop_
_atom_site_label
_atom_site_type_symbol
_atom_site_fract_x
_atom_site_fract_y
_atom_site_fract_z
_atom_site_occupancy
Li1 Li 0.000 0.000 0.000 1
Er1 Er 0.250 0.250 0.250 1
Pu1 Pu 0.250 0.250 0.750 1
Os1 Os 0.000 0.000 0.500 1
```

***

Entry 5:
First-principles (PBE) data for a relaxed LiSmErOs crystal, as listed in the Alexandria database.

Calculated values
N(E_F)	8.80	states/eV/cell
E_tot	-92.87	eV for the cell shown
spin magnetization	0.00	μB per atom

The structure in CIF format:
```
data_LiSmErOs
_chemical_formula_sum 'Li4 Sm4 Er4 Os4'
_cell_length_a 6.966
_cell_length_b 6.966
_cell_length_c 6.966
_cell_angle_alpha 90.00
_cell_angle_beta 90.00
_cell_angle_gamma 90.00
_symmetry_space_group_name_H-M 'F -4 3 m'
_symmetry_Int_Tables_number 216
_symmetry_space_group_name_Hall 'F -4 2 3'
loop_
_atom_site_label
_atom_site_type_symbol
_atom_site_fract_x
_atom_site_fract_y
_atom_site_fract_z
_atom_site_occupancy
Li1 Li 0.000 0.000 0.000 1
Sm1 Sm 0.250 0.250 0.750 1
Er1 Er 0.250 0.250 0.250 1
Os1 Os 0.000 0.000 0.500 1
```

***

Entry 6:
First-principles (PBE) data for a relaxed LiErSnOs crystal, as listed in the Alexandria database.

Calculated values
N(E_F)	15.82	states/eV/cell
E_tot	-91.16	eV for the cell shown
spin magnetization	0.00	μB per atom

The structure in CIF format:
```
data_LiErSnOs
_chemical_formula_sum 'Li4 Er4 Sn4 Os4'
_cell_length_a 6.661
_cell_length_b 6.661
_cell_length_c 6.661
_cell_angle_alpha 90.00
_cell_angle_beta 90.00
_cell_angle_gamma 90.00
_symmetry_space_group_name_H-M 'F -4 3 m'
_symmetry_Int_Tables_number 216
_symmetry_space_group_name_Hall 'F -4 2 3'
loop_
_atom_site_label
_atom_site_type_symbol
_atom_site_fract_x
_atom_site_fract_y
_atom_site_fract_z
_atom_site_occupancy
Li1 Li 0.000 0.000 0.000 1
Er1 Er 0.250 0.250 0.750 1
Sn1 Sn 0.250 0.250 0.250 1
Os1 Os 0.000 0.000 0.500 1
```

***

Entry 7:
First-principles (PBE) data for a relaxed LiErTaOs crystal, as listed in the Alexandria database.

Calculated values
N(E_F)	11.52	states/eV/cell
E_tot	-119.60	eV for the cell shown
spin magnetization	0.00	μB per atom

The structure in CIF format:
```
data_LiErTaOs
_chemical_formula_sum 'Li4 Er4 Ta4 Os4'
_cell_length_a 6.567
_cell_length_b 6.567
_cell_length_c 6.567
_cell_angle_alpha 90.00
_cell_angle_beta 90.00
_cell_angle_gamma 90.00
_symmetry_space_group_name_H-M 'F -4 3 m'
_symmetry_Int_Tables_number 216
_symmetry_space_group_name_Hall 'F -4 2 3'
loop_
_atom_site_label
_atom_site_type_symbol
_atom_site_fract_x
_atom_site_fract_y
_atom_site_fract_z
_atom_site_occupancy
Li1 Li 0.000 0.000 0.000 1
Er1 Er 0.250 0.250 0.750 1
Ta1 Ta 0.250 0.250 0.250 1
Os1 Os 0.000 0.000 0.500 1
```

***

Entry 8:
First-principles (PBE) data for a relaxed LiErThOs crystal, as listed in the Alexandria database.

Calculated values
N(E_F)	13.75	states/eV/cell
E_tot	-104.00	eV for the cell shown
spin magnetization	0.00	μB per atom

The structure in CIF format:
```
data_LiErThOs
_chemical_formula_sum 'Li4 Er4 Th4 Os4'
_cell_length_a 7.047
_cell_length_b 7.047
_cell_length_c 7.047
_cell_angle_alpha 90.00
_cell_angle_beta 90.00
_cell_angle_gamma 90.00
_symmetry_space_group_name_H-M 'F -4 3 m'
_symmetry_Int_Tables_number 216
_symmetry_space_group_name_Hall 'F -4 2 3'
loop_
_atom_site_label
_atom_site_type_symbol
_atom_site_fract_x
_atom_site_fract_y
_atom_site_fract_z
_atom_site_occupancy
Li1 Li 0.000 0.000 0.000 1
Er1 Er 0.250 0.250 0.250 1
Th1 Th 0.250 0.250 0.750 1
Os1 Os 0.000 0.000 0.500 1
```

***

Entry 9:
First-principles (PBE) data for a relaxed LiErTiOs crystal, as listed in the Alexandria database.

Calculated values
N(E_F)	14.71	states/eV/cell
E_tot	-105.41	eV for the cell shown
spin magnetization	0.00	μB per atom

The structure in CIF format:
```
data_LiErTiOs
_chemical_formula_sum 'Li4 Er4 Ti4 Os4'
_cell_length_a 6.538
_cell_length_b 6.538
_cell_length_c 6.538
_cell_angle_alpha 90.00
_cell_angle_beta 90.00
_cell_angle_gamma 90.00
_symmetry_space_group_name_H-M 'F -4 3 m'
_symmetry_Int_Tables_number 216
_symmetry_space_group_name_Hall 'F -4 2 3'
loop_
_atom_site_label
_atom_site_type_symbol
_atom_site_fract_x
_atom_site_fract_y
_atom_site_fract_z
_atom_site_occupancy
Li1 Li 0.000 0.000 0.000 1
Er1 Er 0.250 0.250 0.750 1
Ti1 Ti 0.250 0.250 0.250 1
Os1 Os 0.000 0.000 0.500 1
```

***

Entry 10:
First-principles (PBE) data for a relaxed LiErTmOs crystal, as listed in the Alexandria database.

Calculated values
N(E_F)	11.39	states/eV/cell
E_tot	-93.23	eV for the cell shown
spin magnetization	0.00	μB per atom

The structure in CIF format:
```
data_LiErTmOs
_chemical_formula_sum 'Li4 Er4 Tm4 Os4'
_cell_length_a 6.847
_cell_length_b 6.847
_cell_length_c 6.847
_cell_angle_alpha 90.00
_cell_angle_beta 90.00
_cell_angle_gamma 90.00
_symmetry_space_group_name_H-M 'F -4 3 m'
_symmetry_Int_Tables_number 216
_symmetry_space_group_name_Hall 'F -4 2 3'
loop_
_atom_site_label
_atom_site_type_symbol
_atom_site_fract_x
_atom_site_fract_y
_atom_site_fract_z
_atom_site_occupancy
Li1 Li 0.000 0.000 0.000 1
Er1 Er 0.250 0.250 0.750 1
Tm1 Tm 0.250 0.250 0.250 1
Os1 Os 0.000 0.000 0.500 1
```

***

Entry 11:
First-principles (PBE) data for a relaxed LiErVOs crystal, as listed in the Alexandria database.

Calculated values
N(E_F)	14.21	states/eV/cell
E_tot	-106.69	eV for the cell shown
spin magnetization	0.26	μB per atom

The structure in CIF format:
```
data_LiErVOs
_chemical_formula_sum 'Li4 Er4 V4 Os4'
_cell_length_a 6.450
_cell_length_b 6.450
_cell_length_c 6.450
_cell_angle_alpha 90.00
_cell_angle_beta 90.00
_cell_angle_gamma 90.00
_symmetry_space_group_name_H-M 'F -4 3 m'
_symmetry_Int_Tables_number 216
_symmetry_space_group_name_Hall 'F -4 2 3'
loop_
_atom_site_label
_atom_site_type_symbol
_atom_site_fract_x
_atom_site_fract_y
_atom_site_fract_z
_atom_site_occupancy
Li1 Li 0.000 0.000 0.000 1
Er1 Er 0.250 0.250 0.750 1
V1 V 0.250 0.250 0.250 1
Os1 Os 0.000 0.000 0.500 1
```

***

Entry 12:
First-principles (PBE) data for a relaxed LiErPa2P4 crystal, as listed in the Alexandria database.

Calculated values
N(E_F)	5.06	states/eV/cell
E_tot	-56.26	eV for the cell shown
spin magnetization	0.00	μB per atom

The structure in CIF format:
```
data_LiErPa2P4
_chemical_formula_sum 'Li1 Er1 Pa2 P4'
_cell_length_a 6.690
_cell_length_b 3.999
_cell_length_c 6.926
_cell_angle_alpha 90.00
_cell_angle_beta 110.11
_cell_angle_gamma 90.00
_symmetry_space_group_name_H-M 'P 1 2/m 1'
_symmetry_Int_Tables_number 10
loop_
_symmetry_equiv_pos_as_xyz
'x,y,z'
'-x,-y,-z'
'-x,y,-z'
'x,-y,z'
loop_
_atom_site_label
_atom_site_type_symbol
_atom_site_fract_x
_atom_site_fract_y
_atom_site_fract_z
_atom_site_occupancy
Li1 Li 0.000 0.000 0.000 1
Er1 Er 0.000 0.500 0.500 1
Pa1 Pa 0.500 0.000 0.500 1
Pa2 Pa 0.500 0.500 0.000 1
P1 P 0.252 0.000 0.752 1
P2 P 0.257 0.500 0.252 1
```